# 1
The following is a PBE-GGA calculation of RbCrS2 after structural relaxation, from Alexandria.

Calculated values
ΔE_f (raw), eV per atom: -0.771
SG: No. 15

Lattice parameters (Å, degrees): 7.118 7.118 15.597 96.74 96.74 89.99
Atoms (fractional coordinates):
Rb1 0.134 0.771 0.589
Rb2 0.225 0.345 0.905
Rb3 0.229 0.866 0.911
Rb4 0.345 0.225 0.405
Rb5 0.655 0.775 0.595
Rb6 0.771 0.134 0.089
Rb7 0.775 0.655 0.095
Rb8 0.866 0.229 0.411
Cr1 0.149 0.699 0.306
Cr2 0.301 0.490 0.193
Cr3 0.301 0.851 0.194
Cr4 0.490 0.301 0.693
Cr5 0.510 0.699 0.307
Cr6 0.699 0.149 0.806
Cr7 0.699 0.510 0.807
Cr8 0.851 0.301 0.694
S1 0.046 0.419 0.248
S2 0.048 0.952 0.250
S3 0.151 0.280 0.612
S4 0.272 0.641 0.077
S5 0.280 0.151 0.112
S6 0.359 0.728 0.423
S7 0.418 0.582 0.750
S8 0.419 0.046 0.748
S9 0.581 0.954 0.252
S10 0.582 0.418 0.250
S11 0.641 0.272 0.577
S12 0.720 0.849 0.888
S13 0.728 0.359 0.923
S14 0.849 0.720 0.388
S15 0.952 0.048 0.750
S16 0.954 0.581 0.752


# 2
The following is a PBE-GGA calculation of LaNdErTh after structural relaxation, from Alexandria.

Calculated values
E_form, eV/atom: 0.028
SG: No. 99

Lattice parameters (Å, degrees): 3.621 3.621 10.313 90.00 90.00 90.00
Atoms (fractional coordinates):
La1 0.000 0.000 0.000
Nd1 0.500 0.500 0.729
Er1 0.500 0.500 0.257
Th1 0.000 0.000 0.488


# 3
The following is a PBE-GGA calculation of Pm4SnSb2Se after structural relaxation, from Alexandria.

Calculated values
ΔE_f (raw), eV per atom: -1.235
SG: No. 10

Lattice parameters (Å, degrees): 7.676 4.414 7.686 90.00 109.33 90.00
Atoms (fractional coordinates):
Pm1 0.245 0.000 0.247
Pm2 0.247 0.500 0.753
Pm3 0.753 0.500 0.247
Pm4 0.755 0.000 0.753
Sn1 0.000 0.000 0.500
Sb1 0.500 0.000 0.000
Sb2 0.500 0.500 0.500
Se1 0.000 0.500 0.000


# 4
The following is a PBE-GGA calculation of MgRhW after structural relaxation, from Alexandria.

Calculated values
E_form, eV/atom: 0.745
SG: No. 216

Lattice parameters (Å, degrees): 6.058 6.058 6.058 90.00 90.00 90.00
Atoms (fractional coordinates):
Mg1 0.000 0.000 0.000
Mg2 0.000 0.500 0.500
Mg3 0.500 0.000 0.500
Mg4 0.500 0.500 0.000
Rh1 0.000 0.000 0.500
Rh2 0.000 0.500 0.000
Rh3 0.500 0.000 0.000
Rh4 0.500 0.500 0.500
W1 0.250 0.250 0.250
W2 0.250 0.750 0.750
W3 0.750 0.250 0.750
W4 0.750 0.750 0.250


Number 1: spin magnetization 0.00 Bohr magnetons per cell, uncorrected energy -5.4821 eV per atom. Number 2: spin magnetization 0.00 Bohr magnetons per cell, uncorrected energy -5.3911 eV per atom. Number 3: spin magnetization 0.00 Bohr magnetons per cell, uncorrected energy -5.5770 eV per atom. Number 4: spin magnetization 0.00 Bohr magnetons per cell, uncorrected energy -6.5550 eV per atom.